[1]
The following is a DFT calculation (PBE) of crystalline TcSnHF at its relaxed geometry.

a b c (Å): 2.8462 3.3830 6.3215
angles (deg): 90.00 90.70 90.00
Closest atoms and distances in Å follow each position.
Sites, in units of the cell vectors:
Sn  0.2323  0.0000  0.7809  2 H 2.80, 2 Sn 2.85, 4 Tc 2.93
H  0.7431  0.0000  0.1631  2 Tc 1.76
F  0.2474  0.5000  0.3289  2 Tc 2.10
Tc  0.7406  0.5000  0.0856  2 H 1.76

Computed properties:
The value obtained for the density of states at the Fermi level is 2.632 states/eV per cell. The space-group type is Pm. The value obtained for the polymorph energy (0 for the lowest one) is 0.0374 eV per atom. The calculation puts the magnetic moment at 0.000 μB per formula unit.

[2]
The following is a DFT calculation (PBE) of crystalline Sr2Li3GaSb4 at its relaxed geometry.

a b c (Å): 4.7965 4.7965 11.1913
angles (deg): 90.00 90.00 90.00
Closest atoms and distances in Å follow each position.
Sites, in units of the cell vectors:
Sr  0.0000  0.5000  0.7644  8 Sb 3.56-3.69, 6 Li 3.61-3.81, 2 Ga 3.81
Sb  0.5000  0.0000  0.6344  3 Li 2.69-2.83, 2 Ga 2.83
Li  0.0000  0.5000  0.1250  5 Sb 2.69-2.78
Ga  0.5000  0.5000  0.5000  4 Sb 2.83
Sb  0.0000  0.0000  0.0000  4 Li 2.78
Sb  0.5000  0.5000  0.0000  4 Li 2.78
Sr  0.5000  0.0000  0.2356  8 Sb 3.56-3.69, 6 Li 3.61-3.81, 2 Ga 3.81
Li  0.0000  0.0000  0.5000  4 Sb 2.83
Li  0.5000  0.0000  0.8750  5 Sb 2.69-2.78
Sb  0.0000  0.5000  0.3656  3 Li 2.69-2.83, 2 Ga 2.83

Computed properties:
The value obtained for the density of states at the Fermi level is 1.076 states/eV per cell. The space-group type is P-4m2. The calculation puts the uncorrected formation energy at -0.666 eV/atom. The calculation puts the magnetic moment at 0.000 μB per formula unit.

[3]
The following is a DFT calculation (PBE) of crystalline Ca4TbAg5 at its relaxed geometry.

a b c (Å): 3.7156 3.7156 18.3734
angles (deg): 90.00 90.00 90.00
Closest atoms and distances in Å follow each position.
Sites, in units of the cell vectors:
Ag  0.5000  0.5000  0.0916  4 Tb 3.12, 4 Ca 3.28, 1 Ag 3.36
Ag  0.5000  0.5000  0.5000  8 Ca 3.20
Tb  0.0000  0.0000  0.0000  8 Ag 3.12
Ca  0.0000  0.0000  0.5999  8 Ag 3.20-3.21
Ag  0.5000  0.5000  0.6999  8 Ca 3.21-3.23
Ca  0.0000  0.0000  0.8017  8 Ag 3.23-3.28
Ag  0.5000  0.5000  0.3001  8 Ca 3.21-3.23
Ca  0.0000  0.0000  0.1983  8 Ag 3.23-3.28
Ca  0.0000  0.0000  0.4001  8 Ag 3.20-3.21
Ag  0.5000  0.5000  0.9084  4 Tb 3.12, 4 Ca 3.28, 1 Ag 3.36

Computed properties:
The formation energy is -0.31 eV/atom. The value obtained for the density of states at the Fermi level is 7.370 states/eV per cell. The space-group type is P4/mmm. The calculation puts the magnetic moment at 0.000 μB per formula unit.

[4]
The following is a DFT calculation (PBE) of crystalline KBe2Os at its relaxed geometry.

a b c (Å): 4.4244 4.4244 4.4244
angles (deg): 60.00 60.00 60.00
Closest atoms and distances in Å follow each position.
Sites, in units of the cell vectors:
Be  0.0000  0.0000  0.0000  4 Be 2.71, 4 Os 2.71
Be  0.7500  0.7500  0.7500  4 K 2.71, 4 Be 2.71
K  0.5000  0.5000  0.5000  4 Os 2.71, 4 Be 2.71
Os  0.2500  0.2500  0.2500  4 Be 2.71, 4 K 2.71

Computed properties:
The formation energy is 1.62 eV/atom. The value obtained for the density of states at the Fermi level is 3.375 states/eV per cell. The space-group type is F-43m. The value obtained for the polymorph energy (0 for the lowest one) is 1.3057 eV per atom. The calculation puts the magnetic moment at 0.000 μB per formula unit.

[5]
The following is a DFT calculation (PBE) of crystalline Al2ReMo at its relaxed geometry.

a b c (Å): 4.3750 4.3750 4.3750
angles (deg): 60.00 60.00 60.00
Closest atoms and distances in Å follow each position.
Sites, in units of the cell vectors:
Mo  0.0000  0.0000  0.0000  8 Al 2.68
Al  0.7500  0.7500  0.7500  4 Mo 2.68, 4 Re 2.68
Al  0.2500  0.2500  0.2500  4 Mo 2.68, 4 Re 2.68
Re  0.5000  0.5000  0.5000  8 Al 2.68

Computed properties:
The formation energy is 0.03 eV/atom. The value obtained for the density of states at the Fermi level is 5.308 states/eV per cell. The space-group type is Fm-3m. The value obtained for the polymorph energy (0 for the lowest one) is 0.3420 eV per atom. The calculation puts the magnetic moment at 1.061 μB per formula unit.

[6]
The following is a DFT calculation (PBE) of crystalline SbTeOF2 at its relaxed geometry.

a b c (Å): 4.6560 4.6560 4.2362
angles (deg): 90.00 90.00 90.00
Closest atoms and distances in Å follow each position.
Sites, in units of the cell vectors:
F  0.5000  0.0000  0.0000  2 Sb 2.33
Sb  0.0000  0.0000  0.0000  2 O 2.12, 4 F 2.33
O  0.0000  0.0000  0.5000  2 Sb 2.12
F  0.0000  0.5000  0.0000  2 Sb 2.33
Te  0.5000  0.5000  0.5000  8 F 3.15, 4 O 3.29

Computed properties:
The value obtained for the density of states at the Fermi level is 1.843 states/eV per cell. The space-group type is P4/mmm. The calculation puts the uncorrected formation energy at -0.934 eV/atom. The value obtained for the polymorph energy (0 for the lowest one) is 0.0000 eV per atom. The calculation puts the magnetic moment at 2.740 μB per formula unit.

[7]
The following is a DFT calculation (PBE) of crystalline CoPb2W at its relaxed geometry.

a b c (Å): 4.7566 4.7566 4.7566
angles (deg): 60.00 60.00 60.00
Closest atoms and distances in Å follow each position.
Sites, in units of the cell vectors:
W  0.5000  0.5000  0.5000  8 Pb 2.91
Pb  0.7500  0.7500  0.7500  4 W 2.91, 4 Co 2.91
Pb  0.2500  0.2500  0.2500  4 W 2.91, 4 Co 2.91
Co  0.0000  0.0000  0.0000  8 Pb 2.91

Computed properties:
The formation energy is 1.06 eV/atom. The value obtained for the density of states at the Fermi level is 3.798 states/eV per cell. The space-group type is Fm-3m. The value obtained for the polymorph energy (0 for the lowest one) is 0.6482 eV per atom. The calculation puts the magnetic moment at 0.000 μB per formula unit.

[8]
The following is a DFT calculation (PBE) of crystalline Ca2GaPdO5 at its relaxed geometry.

a b c (Å): 3.3026 6.7968 10.4201
angles (deg): 90.00 90.00 104.06
Closest atoms and distances in Å follow each position.
Sites, in units of the cell vectors:
O  0.2688  0.5377  0.6688  2 Pd 2.18, 1 Ca 2.31
O  0.3852  0.7704  0.9947  1 Ga 2.11, 1 Pd 2.20
Ca  0.8561  0.7122  0.8065  7 O 2.39-2.59
Ca  0.9059  0.8119  0.1607  6 O 2.31-2.41
Ga  0.5398  0.0796  0.9432  3 O 1.85-1.92
O  0.7312  0.4623  0.1688  2 Pd 2.18, 1 Ca 2.31
O  0.4994  0.9987  0.7736  1 Ga 1.85
Ga  0.4602  0.9204  0.4432  3 O 1.85-1.92
O  0.6944  0.3889  0.9093  1 Ga 2.07, 2 Pd 2.13
O  0.6148  0.2296  0.4947  1 Ga 2.11, 1 Pd 2.20
O  0.3056  0.6111  0.4093  1 Ga 2.07, 2 Pd 2.13
Ca  0.1439  0.2878  0.3065  7 O 2.39-2.59
Ca  0.0941  0.1881  0.6607  6 O 2.31-2.41
Pd  0.7787  0.5575  0.5331  6 O 2.13-2.20
O  0.0585  0.1169  0.0341  2 Ga 1.92, 1 Pd 2.15
O  0.9415  0.8831  0.5341  2 Ga 1.92, 1 Pd 2.15
Pd  0.2213  0.4425  0.0331  6 O 2.13-2.20
O  0.5006  0.0013  0.2736  1 Ga 1.85

Computed properties:
The value obtained for the density of states at the Fermi level is 6.344 states/eV per cell. The space-group type is Cmc2_1. The calculation puts the uncorrected formation energy at -1.900 eV/atom. The calculation puts the magnetic moment at 0.946 μB per formula unit.

[9]
The following is a DFT calculation (PBE) of crystalline NaSO at its relaxed geometry.

a b c (Å): 4.7625 5.3322 4.1529
angles (deg): 81.52 87.70 83.27
Closest atoms and distances in Å follow each position.
Sites, in units of the cell vectors:
Na  0.9179  0.2773  0.2923  3 O 2.36-2.44
S  0.4932  0.1883  0.8536  1 O 1.61
S  0.5068  0.8117  0.1464  1 O 1.61
O  0.1608  0.2568  0.7826  1 S 1.61
Na  0.0821  0.7227  0.7077  3 O 2.36-2.44
O  0.8392  0.7432  0.2174  1 S 1.61

Computed properties:
The space-group type is P-1. The calculation puts the uncorrected formation energy at -0.964 eV/atom. The calculation puts the magnetic moment at 0.000 μB per formula unit.

[10]
The following is a DFT calculation (PBE) of crystalline Ba2ZnF7 at its relaxed geometry.

a b c (Å): 9.3677 7.5844 7.7935
angles (deg): 57.51 53.06 51.86
Closest atoms and distances in Å follow each position.
Sites, in units of the cell vectors:
F  0.1679  0.8544  0.5945  2 F 2.65-2.85, 3 Ba 2.66-2.71
Ba  0.4815  0.6474  0.6859  9 F 2.66-2.97
Zn  0.9874  0.7500  0.2500  4 F 1.91-1.93
F  0.2935  0.1242  0.5791  1 Zn 1.91
F  0.9188  0.3726  0.5281  1 Zn 1.93
Zn  0.0126  0.2500  0.7500  4 F 1.91-1.93
F  0.8196  0.1274  0.9719  1 Zn 1.93
F  0.4845  0.2500  0.7500  2 F 2.65, 4 Ba 2.76-2.90
Ba  0.5185  0.3526  0.3141  9 F 2.66-2.97
F  0.7065  0.8758  0.4209  1 Zn 1.91
F  0.5155  0.7500  0.2500  2 F 2.65, 4 Ba 2.76-2.90
F  0.8321  0.1456  0.4055  2 F 2.65-2.85, 3 Ba 2.66-2.71
F  0.9968  0.3758  0.9209  1 Zn 1.91
F  0.6168  0.6456  0.9055  2 F 2.65-2.85, 3 Ba 2.66-2.71
F  0.0032  0.6242  0.0791  1 Zn 1.91
Ba  0.1852  0.1474  0.1859  9 F 2.66-2.97
F  0.0812  0.6274  0.4719  1 Zn 1.93
F  0.1804  0.8726  0.0281  1 Zn 1.93
Ba  0.8148  0.8526  0.8141  9 F 2.66-2.97
F  0.3832  0.3544  0.0945  2 F 2.65-2.85, 3 Ba 2.66-2.71

Computed properties:
The value obtained for the density of states at the Fermi level is 16.618 states/eV per cell. The space-group type is C2/c. The calculation puts the uncorrected formation energy at -2.977 eV/atom. The calculation puts the magnetic moment at 1.086 μB per formula unit.